Computed, not measured: an optimized crystal structure of LaThCuRh at the PBE-GGA level of DFT.

a = 5.086 Å, b = 5.086 Å, c = 5.086 Å
α = 60.00°, β = 60.00°, γ = 60.00°
Positions (direct):
Th 0.000 0.000 0.000
Cu 0.250 0.250 0.250
La 0.500 0.500 0.500
Rh 0.750 0.750 0.750


Computed, not measured: an optimized crystal structure of LiTbZnAg at the PBE-GGA level of DFT.

a = 4.865 Å, b = 4.865 Å, c = 4.865 Å
α = 60.00°, β = 60.00°, γ = 60.00°
Positions (direct):
Ag 0.250 0.250 0.250
Li 0.500 0.500 0.500
Zn 0.750 0.750 0.750
Tb 0.000 0.000 0.000


Computed, not measured: an optimized crystal structure of Tb5Er2Sc3 at the PBE-GGA level of DFT.

a = 9.173 Å, b = 9.138 Å, c = 9.350 Å
α = 108.76°, β = 108.91°, γ = 109.91°
Positions (direct):
Sc 0.716 0.966 0.932
Sc 0.778 0.231 0.771
Sc 0.507 0.460 0.229
Sc 0.493 0.540 0.771
Sc 0.284 0.034 0.068
Sc 0.222 0.769 0.229
Tb 0.784 0.534 0.067
Tb 0.518 0.768 0.535
Tb 0.610 0.848 0.212
Tb 0.982 0.732 0.464
Tb 0.482 0.232 0.465
Tb 0.101 0.363 0.212
Tb 0.899 0.637 0.788
Tb 0.390 0.152 0.788
Tb 0.216 0.466 0.933
Tb 0.018 0.268 0.536
Er 0.018 0.970 0.228
Er 0.982 0.030 0.772
Er 0.290 0.743 0.772
Er 0.710 0.257 0.228


Computed, not measured: an optimized crystal structure of Mg2Zr4Ti at the PBE-GGA level of DFT.

a = 3.091 Å, b = 3.088 Å, c = 16.696 Å
α = 90.00°, β = 95.31°, γ = 90.00°
Positions (direct):
Ti 0.500 0.000 0.000
Zr 0.634 0.000 0.268
Zr 0.936 0.500 0.872
Zr 0.064 0.500 0.128
Zr 0.366 0.000 0.732
Mg 0.208 0.500 0.417
Mg 0.792 0.500 0.583


no.,ΔH_f (0 K) (eV per atom),D(E_F) (states/eV/cell),magnetization (μB per formula unit)
1,-0.39,4.67,0.001
2,-0.21,4.19,0.000
3,0.19,34.23,0.000
4,0.06,8.03,0.000